Compound: Gd2AsS
Source: Alexandria via LeMat-Bulk
Functional: GGA-PBE
Structure: optimized geometry

Cell: 4.0786 4.0786 19.8533 Å, 90.00 90.00 120.00°
Space group R-3m (No. 166, hexagonal axes)
Inequivalent atoms, fractional coordinates:
1 Gd 0.0000 0.0000 0.2489 x6
2 As 0.0000 0.0000 0.0000 x3
3 S 0.0000 0.0000 0.5000 x3

Results
Uncorrected formation energy   -1.822 eV per atom

Compound: GdAsS
Source: Alexandria via LeMat-Bulk
Functional: GGA-PBE
Structure: optimized geometry

Cell: 3.833 3.833 10.419 Å, 90.00 90.00 90.00°
Space group I4mm (No. 107)
Inequivalent atoms, fractional coordinates:
1 Gd 0.000 0.000 0.000 x2
2 As 0.000 0.000 0.618 x2
3 S 0.000 0.000 0.391 x2

Results
Uncorrected formation energy   -1.067 eV per atom

Compound: Gd2SbAs
Source: Alexandria via LeMat-Bulk
Functional: GGA-PBE
Structure: optimized geometry

Cell: 4.2626 4.2626 21.1496 Å, 90.00 90.00 120.00°
Space group R-3m (No. 166, hexagonal axes)
Inequivalent atoms, fractional coordinates:
1 Gd 0.0000 0.0000 0.2441 x6
2 Sb 0.0000 0.0000 0.0000 x3
3 As 0.0000 0.0000 0.5000 x3

Results
Uncorrected formation energy   -1.343 eV per atom

Compound: GdAsSe2
Source: Alexandria via LeMat-Bulk
Functional: GGA-PBE
Structure: optimized geometry

Cell: 3.8676 3.8676 26.2031 Å, 90.00 90.00 120.00°
Space group R-3m (No. 166, hexagonal axes)
Inequivalent atoms, fractional coordinates:
1 Gd 0.0000 0.0000 0.0000 x3
2 As 0.0000 0.0000 0.5000 x3
3 Se 0.0000 0.0000 0.1087 x6

Results
Uncorrected formation energy   -0.283 eV per atom